Run w
Material: CrPtRh
Method: DFT, GGA-PBEsol
State: relaxed

Lattice parameters (Å, degrees): 2.659 2.659 5.904 103.01 103.01 90.00
Positions (direct):
1 Pt 0.342 0.342 0.683
2 Cr 0.004 0.004 0.009
3 Rh 0.654 0.654 0.308

Computed properties:
Magnetization (μB per atom): 0.0016
Mass density (Mg/m³): 14.69

***

Run x
Material: CrPtRh
Method: DFT, GGA-PBEsol
State: relaxed

Lattice parameters (Å, degrees): 2.654 3.674 4.655 113.24 106.56 90.00
Positions (direct):
1 Rh 0.344 0.344 0.687
2 Cr 0.993 0.993 0.986
3 Pt 0.663 0.663 0.327

Computed properties:
Magnetization (μB per atom): 0.0117
Mass density (Mg/m³): 14.65

***

So which one is most stable? That would be run w, about 0.032 eV/atom below the next structure.

***

Run w
Material: CrTe2Pt
Method: DFT, GGA-PBEsol
State: relaxed

Lattice parameters (Å, degrees): 3.411 3.411 7.718 77.24 77.24 60.00
Positions (direct):
1 Pt 0.000 0.000 0.000
2 Te 0.754 0.754 0.737
3 Te 0.246 0.246 0.263
4 Cr 0.500 0.500 0.500

Computed properties:
Magnetization (μB per atom): 0.0000
Mass density (Mg/m³): 11.09

***

Run x
Material: CrTe2Pt
Method: DFT, GGA-PBEsol
State: relaxed

Lattice parameters (Å, degrees): 3.781 3.991 5.617 90.00 109.67 90.00
Site moments in Bohr magnetons follow the coordinates.
Positions (direct):
1 Te 0.023 0.000 0.046  -0.12
2 Te 0.739 0.500 0.478  -0.08
3 Cr 0.459 0.500 0.918  3.15
4 Pt 0.279 0.000 0.557  0.00

Computed properties:
Magnetization (μB per atom): 0.7865
Mass density (Mg/m³): 10.45

***

So which one is most stable? That would be run x, about 0.246 eV/atom below the next structure.

***

Run w
Material: TlCrPt
Method: DFT, GGA-PBEsol
State: relaxed

Lattice parameters (Å, degrees): 2.887 2.887 6.197 103.47 103.47 90.00
Site moments in Bohr magnetons follow the coordinates.
Positions (direct):
1 Cr 0.015 0.015 0.030  0.84
2 Pt 0.645 0.645 0.290  -0.03
3 Tl 0.340 0.340 0.680  -0.01

Computed properties:
Magnetization (μB per atom): 0.2848
Mass density (Mg/m³): 15.38

***

Run x
Material: TlCrPt
Method: DFT, GGA-PBEsol
State: relaxed

Lattice parameters (Å, degrees): 4.334 4.334 4.334 60.00 60.00 60.00
Site moments in Bohr magnetons follow the coordinates.
Positions (direct):
1 Cr 0.750 0.750 0.750  3.00
2 Tl 0.500 0.500 0.500  0.02
3 Pt 0.000 0.000 0.000  0.11

Computed properties:
Magnetization (μB per atom): 1.1051
Mass density (Mg/m³): 13.02

***

So which one is most stable? That would be run w, about 0.170 eV/atom below the next structure.

***

Run w
Material: CrPt2W
Method: DFT, GGA-PBEsol
State: relaxed

Lattice parameters (Å, degrees): 2.728 4.676 4.744 99.82 106.71 90.00
Site moments in Bohr magnetons follow the coordinates.
Positions (direct):
1 Cr 0.000 0.500 0.000  1.04
2 Pt 0.253 0.254 0.506  0.02
3 Pt 0.747 0.746 0.494  0.02
4 W 0.500 0.000 0.000  -0.08

Computed properties:
Magnetization (μB per atom): 0.2608
Mass density (Mg/m³): 18.22

***

Run x
Material: CrPt2W
Method: DFT, GGA-PBEsol
State: relaxed

Lattice parameters (Å, degrees): 2.674 2.674 7.909 90.00 90.00 90.00
Site moments in Bohr magnetons follow the coordinates.
Positions (direct):
1 Pt 0.000 0.000 0.262  0.01
2 Pt 0.000 0.000 0.738  0.01
3 W 0.500 0.500 0.000  0.03
4 Cr 0.500 0.500 0.500  0.85

Computed properties:
Magnetization (μB per atom): 0.2338
Mass density (Mg/m³): 18.39

***

So which one is most stable? That would be run x, about 0.134 eV/atom below the next structure.

***

Run w
Material: Cr5Re
Method: DFT, GGA-PBEsol
State: relaxed

Lattice parameters (Å, degrees): 2.873 4.067 6.226 90.00 103.34 90.00
Positions (direct):
1 Cr 0.169 0.000 0.338
2 Cr 0.671 0.500 0.342
3 Cr 0.329 0.500 0.658
4 Cr 0.500 0.000 0.000
5 Cr 0.831 0.000 0.662
6 Re 0.000 0.500 0.000

Computed properties:
Magnetization (μB per atom): 0.0000
Mass density (Mg/m³): 10.47

***

Run x
Material: Cr5Re
Method: DFT, GGA-PBEsol
State: relaxed

Lattice parameters (Å, degrees): 2.866 4.752 5.736 107.56 90.00 107.55
Positions (direct):
1 Cr 0.170 0.340 0.842
2 Cr 0.500 0.000 0.000
3 Cr 0.830 0.660 0.158
4 Cr 0.169 0.339 0.327
5 Cr 0.831 0.661 0.673
6 Re 0.500 0.000 0.500

Computed properties:
Magnetization (μB per atom): 0.0001
Mass density (Mg/m³): 10.48

***

So which one is most stable? That would be run x, about 0.009 eV/atom below the next structure.

***

Run w
Material: CrReRh3
Method: DFT, GGA-PBEsol
State: relaxed

Lattice parameters (Å, degrees): 4.316 4.316 4.316 90.00 90.00 90.00
Site moments in Bohr magnetons follow the coordinates.
Positions (direct):
1 Cr 0.000 0.000 0.000  0.11
2 Rh 0.000 0.000 0.500  0.19
3 Rh 0.000 0.500 0.000  0.19
4 Rh 0.500 0.000 0.000  0.19
5 Re 0.500 0.500 0.500  2.09

Computed properties:
Magnetization (μB per atom): 0.6253
Mass density (Mg/m³): 11.30

***

Run x
Material: CrReRh3
Method: DFT, GGA-PBEsol
State: relaxed

Lattice parameters (Å, degrees): 4.614 4.614 4.614 90.00 90.00 90.00
Site moments in Bohr magnetons follow the coordinates.
Positions (direct):
1 Cr 0.500 0.500 0.500  3.92
2 Rh 0.000 0.000 0.500  0.05
3 Rh 0.500 0.000 0.000  0.05
4 Rh 0.000 0.500 0.000  0.05
5 Re 0.000 0.000 0.000  0.00

Computed properties:
Magnetization (μB per atom): 0.9217
Mass density (Mg/m³): 9.25

***

So which one is most stable? That would be run x, about 0.008 eV/atom below the next structure.

***

Run w
Material: CrReSb
Method: DFT, GGA-PBEsol
State: relaxed

Lattice parameters (Å, degrees): 4.239 4.239 4.239 60.00 60.00 60.00
Positions (direct):
1 Sb 0.000 0.000 0.000
2 Cr 0.500 0.500 0.500
3 Re 0.250 0.250 0.250

Computed properties:
Magnetization (μB per atom): 0.0002
Mass density (Mg/m³): 11.10

***

Run x
Material: CrReSb
Method: DFT, GGA-PBEsol
State: relaxed

Lattice parameters (Å, degrees): 2.998 3.720 4.782 112.89 108.27 90.00
Site moments in Bohr magnetons follow the coordinates.
Positions (direct):
1 Cr 0.008 0.008 0.016  1.03
2 Re 0.658 0.658 0.316  -0.11
3 Sb 0.334 0.334 0.667  0.00

Computed properties:
Magnetization (μB per atom): 0.3230
Mass density (Mg/m³): 12.94

***

So which one is most stable? That would be run w, about 0.012 eV/atom below the next structure.

***

Run w
Material: ScCrRe
Method: DFT, GGA-PBEsol
State: relaxed

Lattice parameters (Å, degrees): 3.025 3.025 5.387 106.31 106.31 90.00
Positions (direct):
1 Sc 0.336 0.336 0.671
2 Cr 0.018 0.018 0.035
3 Re 0.647 0.647 0.294

Computed properties:
Magnetization (μB per atom): 0.0001
Mass density (Mg/m³): 10.40

***

Run x
Material: ScCrRe
Method: DFT, GGA-PBEsol
State: relaxed

Lattice parameters (Å, degrees): 2.614 4.518 4.637 119.16 106.37 90.00
Positions (direct):
1 Sc 0.333 0.333 0.665
2 Cr 0.993 0.993 0.986
3 Re 0.674 0.674 0.348

Computed properties:
Magnetization (μB per atom): 0.0007
Mass density (Mg/m³): 10.39

***

So which one is most stable? That would be run w, about 0.385 eV/atom below the next structure.